(1)
Compound: DyMnAl
Source: Alexandria
Functional: PBE-GGA
Structure: relaxed

Cell and atoms, written as extended XYZ:
```
6
Lattice="-2.731 2.759 3.794 2.731 -2.759 3.794 2.731 2.759 -3.794" Properties=species:S:1:pos:R:3 pbc="T T T"
Dy 0.000 1.380 0.905
Dy 2.731 1.380 2.890
Mn 1.365 1.380 -1.897
Mn 1.365 -1.380 1.897
Al 2.731 0.000 0.000
Al 0.000 0.000 3.794
```

Output
Formation enthalpy at 0 K = -231.6 meV per atom
Magnetic moment = 5.24 μB per cell
E = -6.07 eV/atom
Crystal system = orthorhombic

(2)
Compound: DyMnAl
Source: Alexandria
Functional: PBE-GGA
Structure: relaxed

Cell and atoms, written as extended XYZ:
```
3
Lattice="-1.629 1.629 5.520 1.629 -1.629 5.520 1.629 1.629 -5.520" Properties=species:S:1:pos:R:3 pbc="T T T"
Dy 0.000 0.000 0.000
Mn 0.000 0.000 7.477
Al 0.000 0.000 3.256
```

Output
Formation enthalpy at 0 K = -85.1 meV per atom
Magnetic moment = 2.55 μB per cell
E = -5.92 eV/atom
Crystal system = tetragonal

(3)
Compound: DyMnAl
Source: Alexandria
Functional: PBE-GGA
Structure: relaxed

Cell and atoms, written as extended XYZ:
```
3
Lattice="4.591 0.000 0.000 -2.295 3.976 0.000 0.000 0.000 3.438" Properties=species:S:1:pos:R:3 pbc="T T T"
Dy 0.000 0.000 0.000
Mn 2.295 1.325 1.719
Al 0.000 2.650 1.719
```

Output
Formation enthalpy at 0 K = -121.5 meV per atom
Magnetic moment = 3.47 μB per cell
E = -5.96 eV/atom
Crystal system = hexagonal

(4)
Compound: Dy2MnAl8
Source: Alexandria
Functional: PBE-GGA
Structure: relaxed

Cell and atoms, written as extended XYZ:
```
11
Lattice="4.236 0.000 0.000 0.000 4.236 0.000 0.000 0.000 11.281" Properties=species:S:1:pos:R:3 pbc="T T T"
Dy 0.000 0.000 2.166
Dy 0.000 0.000 9.115
Mn 0.000 0.000 5.641
Al 0.000 2.118 0.000
Al 0.000 2.118 4.315
Al 0.000 2.118 6.966
Al 2.118 0.000 0.000
Al 2.118 0.000 4.315
Al 2.118 0.000 6.966
Al 2.118 2.118 2.138
Al 2.118 2.118 9.143
```

Output
Formation enthalpy at 0 K = -347.7 meV per atom
Magnetic moment = 1.20 μB per cell
E = -4.74 eV/atom
Crystal system = tetragonal

(5)
Compound: DyMnAl2
Source: Alexandria
Functional: PBE-GGA
Structure: relaxed

Cell and atoms, written as extended XYZ:
```
4
Lattice="2.130 1.230 5.022 -2.130 1.230 5.022 0.000 -2.459 5.022" Properties=species:S:1:pos:R:3 pbc="T T T"
Dy 0.000 0.000 0.000
Mn 0.000 0.000 7.532
Al 0.000 0.000 3.182
Al 0.000 0.000 11.882
```

Output
Formation enthalpy at 0 K = -193.6 meV per atom
Magnetic moment = 2.58 μB per cell
E = -5.51 eV/atom
Crystal system = trigonal

(6)
Compound: DyMn6Al6
Source: Alexandria
Functional: PBE-GGA
Structure: relaxed

Cell and atoms, written as extended XYZ:
```
13
Lattice="-2.461 4.300 4.400 2.461 -4.300 4.400 2.461 4.300 -4.400" Properties=species:S:1:pos:R:3 pbc="T T T"
Dy 0.000 0.000 0.000
Mn 1.231 2.150 -2.200
Mn 1.231 -2.150 2.200
Mn 2.461 2.031 0.000
Mn -1.231 2.150 2.200
Mn 1.231 2.150 2.200
Mn 0.000 2.269 4.400
Al 2.461 0.000 1.732
Al 0.000 2.909 0.000
Al 0.000 0.000 3.050
Al 0.000 0.000 5.751
Al 0.000 5.691 0.000
Al 0.000 4.300 2.668
```

Output
Formation enthalpy at 0 K = -238.7 meV per atom
Magnetic moment = 7.05 μB per cell
E = -6.55 eV/atom
Crystal system = orthorhombic

What is the E in the first record? -6.07 eV/atom

E of number 1 (DyMnAl)? -6.07 eV/atom

Please write out number 3 again, unchanged.
Compound: DyMnAl
Source: Alexandria
Functional: PBE-GGA
Structure: relaxed

Cell and atoms, written as extended XYZ:
```
3
Lattice="4.591 0.000 0.000 -2.295 3.976 0.000 0.000 0.000 3.438" Properties=species:S:1:pos:R:3 pbc="T T T"
Dy 0.000 0.000 0.000
Mn 2.295 1.325 1.719
Al 0.000 2.650 1.719
```

Output
Formation enthalpy at 0 K = -121.5 meV per atom
Magnetic moment = 3.47 μB per cell
E = -5.96 eV/atom
Crystal system = hexagonal

Which formula does entry 4 have? Dy2MnAl8